1.
Below is crystalline LaV3Sb at its relaxed geometry, with properties calculated at the PBE level. Values from VASP.

Cell and atoms, written as Quantum ESPRESSO input:
```
&SYSTEM
  ibrav = 0, nat = 5, ntyp = 3
/
ATOMIC_SPECIES
La 138.91 La.upf
V 50.94 V.upf
Sb 121.76 Sb.upf
ATOMIC_POSITIONS angstrom
La 0.000 0.000 0.000
V 0.000 0.000 2.343
V 0.000 2.343 0.000
V 2.343 0.000 0.000
Sb 2.343 2.343 2.343
CELL_PARAMETERS angstrom
4.686 0.000 0.000
0.000 4.686 0.000
0.000 0.000 4.686
```

Properties
Raw formation energy in eV/atom: 1.60
E above lowest polymorph in meV/atom: 663

2.
Below is crystalline La2VSb at its relaxed geometry, with properties calculated at the PBE level. Values from VASP.

Cell and atoms, written as Quantum ESPRESSO input:
```
&SYSTEM
  ibrav = 0, nat = 8, ntyp = 3
/
ATOMIC_SPECIES
La 138.91 La.upf
V 50.94 V.upf
Sb 121.76 Sb.upf
ATOMIC_POSITIONS angstrom
La 6.333 1.870 -0.793
La 1.870 2.111 0.793
La -2.111 2.352 2.379
La 2.352 2.111 3.965
V 0.000 0.000 0.000
V 0.000 4.222 1.586
Sb 4.222 0.000 1.586
Sb 0.000 0.000 3.172
CELL_PARAMETERS angstrom
-4.222 4.222 3.172
4.222 -4.222 3.172
4.222 4.222 -3.172
```

Properties
Raw formation energy in eV/atom: 0.06

3.
Below is crystalline LaVSb2 at its relaxed geometry, with properties calculated at the PBE level. Values from VASP.

Cell and atoms, written as Quantum ESPRESSO input:
```
&SYSTEM
  ibrav = 0, nat = 4, ntyp = 3
/
ATOMIC_SPECIES
La 138.91 La.upf
V 50.94 V.upf
Sb 121.76 Sb.upf
ATOMIC_POSITIONS angstrom
La 0.000 0.000 0.000
V 0.000 0.000 9.994
Sb 0.000 0.000 4.642
Sb 0.000 0.000 15.346
CELL_PARAMETERS angstrom
2.168 1.251 6.663
-2.168 1.251 6.663
0.000 -2.503 6.663
```

Properties
Raw formation energy in eV/atom: -0.51
E above lowest polymorph in meV/atom: 0

4.
Below is crystalline LaVSb at its relaxed geometry, with properties calculated at the PBE level. Values from VASP.

Cell and atoms, written as Quantum ESPRESSO input:
```
&SYSTEM
  ibrav = 0, nat = 6, ntyp = 3
/
ATOMIC_SPECIES
La 138.91 La.upf
V 50.94 V.upf
Sb 121.76 Sb.upf
ATOMIC_POSITIONS angstrom
La 1.182 0.000 1.818
La 8.522 0.000 4.779
V 4.362 0.000 0.388
V 5.343 0.000 6.209
Sb 1.186 0.000 5.189
Sb 8.518 0.000 1.407
CELL_PARAMETERS angstrom
5.230 -2.448 0.000
5.230 2.448 0.000
-0.755 0.000 6.596
```

Properties
Raw formation energy in eV/atom: -0.37

5.
Below is crystalline LaV3Sb at its relaxed geometry, with properties calculated at the PBE level. Values from VASP.

Cell and atoms, written as Quantum ESPRESSO input:
```
&SYSTEM
  ibrav = 0, nat = 5, ntyp = 3
/
ATOMIC_SPECIES
La 138.91 La.upf
V 50.94 V.upf
Sb 121.76 Sb.upf
ATOMIC_POSITIONS angstrom
La 0.000 0.000 0.000
V 0.000 2.528 2.528
V 2.528 0.000 2.528
V 2.528 2.528 0.000
Sb 2.528 2.528 2.528
CELL_PARAMETERS angstrom
5.056 0.000 0.000
0.000 5.056 0.000
0.000 0.000 5.056
```

Properties
Raw formation energy in eV/atom: 0.93
E above lowest polymorph in meV/atom: 0

6.
Below is crystalline La2SbW2 at its relaxed geometry, with properties calculated at the PBE level. Values from VASP.

Cell and atoms, written as Quantum ESPRESSO input:
```
&SYSTEM
  ibrav = 0, nat = 5, ntyp = 3
/
ATOMIC_SPECIES
La 138.91 La.upf
Sb 121.76 Sb.upf
W 183.84 W.upf
ATOMIC_POSITIONS angstrom
La 2.383 0.000 2.983
La 0.000 2.383 2.983
Sb 0.000 0.000 0.000
W 0.000 0.000 4.829
W 0.000 0.000 7.103
CELL_PARAMETERS angstrom
-2.383 2.383 5.966
2.383 -2.383 5.966
2.383 2.383 -5.966
```

Properties
Raw formation energy in eV/atom: 1.09
E above lowest polymorph in meV/atom: 954